First-principles (PBE) data for a relaxed structure of CaScFeC2, as listed in the Alexandria database.

## Properties
- energy of formation (eV per formula unit) = 5.49
- SG = P4/mmm (123)

```
CaScFeC2
1.0
-0.9055 2.2729 3.1797
-3.1202 -2.7795 1.0983
2.6233 -2.0661 2.2240
Fe C Sc Ca
1 2 1 1
Direct
0.0000 0.0000 0.0000 Fe
0.0000 0.0000 0.5000 C
0.5000 0.0000 0.0000 C
0.0000 0.5000 0.0000 Sc
0.5000 0.5000 0.5000 Ca
```